A plane-wave DFT calculation with PBEsol was carried out for a relaxed structure of CuTcOs3.

Cell and atoms, written as POSCAR:
```
CuTcOs3
1.0
4.308 0.000 0.000
0.000 4.308 0.000
0.000 0.000 4.308
Os Tc Cu
3 1 1
direct
0.000 0.500 0.000
0.000 0.000 0.500
0.500 0.000 0.000
0.500 0.500 0.500
0.000 0.000 0.000
```

N(E_F)   1.0791 states/eV/atom
Space group   Pm-3m, No. 221
Calculated volume   80.0 Å³/f.u.
Energy relative to the elements   2.1875 eV/atom

---

A plane-wave DFT calculation with PBEsol was carried out for a relaxed structure of CuTcOs2.

Cell and atoms, written as POSCAR:
```
CuTcOs2
1.0
2.699 0.000 0.000
0.000 3.811 0.000
0.000 0.000 5.212
Cu Os Tc
1 2 1
direct
0.000 0.500 0.750
0.500 0.000 0.992
0.000 0.500 0.249
0.500 0.000 0.509
```

N(E_F)   0.9401 states/eV/atom
Space group   Pmm2, No. 25
Calculated volume   53.6 Å³/f.u.
Energy relative to the elements   0.2259 eV/atom
Energy above the lowest structure with this stoichiometry   0.00 eV/f.u.

---

A plane-wave DFT calculation with PBEsol was carried out for a relaxed structure of CuTcOs2.

Cell and atoms, written as POSCAR:
```
CuTcOs2
1.0
2.628 -0.001 0.000
-1.194 2.342 0.000
0.000 0.000 9.005
Cu Os Tc
1 2 1
direct
0.500 0.500 0.251
0.000 0.000 0.004
0.500 0.500 0.747
0.000 0.000 0.499
```

N(E_F)   1.1801 states/eV/atom
Space group   Cmm2, No. 35
Calculated volume   55.4 Å³/f.u.
Energy relative to the elements   0.5393 eV/atom
Energy above the lowest structure with this stoichiometry   1.25 eV/f.u.

---

A plane-wave DFT calculation with PBEsol was carried out for a relaxed structure of CuTe2Os.

Cell and atoms, written as POSCAR:
```
CuTe2Os
1.0
-2.586 2.255 -1.303
-0.693 -4.092 -0.535
-1.854 1.393 6.091
Cu Os Te
1 1 2
direct
0.502 0.005 0.526
0.250 0.500 0.696
0.993 0.986 0.912
0.754 0.509 0.366
```

N(E_F)   0.6333 states/eV/atom
Uncorrected formation energy   0.34 eV/atom
Space group   Cm, No. 8
Calculated volume   85.4 Å³/f.u.
Energy above the lowest structure with this stoichiometry   0.00 eV/f.u.

---

A plane-wave DFT calculation with PBEsol was carried out for a relaxed structure of CuTe2Os.

Cell and atoms, written as POSCAR:
```
CuTe2Os
1.0
-0.391 -0.651 -3.052
3.651 -1.906 -0.061
-4.401 -4.077 3.055
Cu Os Te
1 1 2
direct
0.570 0.570 0.140
0.274 0.774 0.548
0.948 0.948 0.896
0.708 0.208 0.417
```

N(E_F)   0.7034 states/eV/atom
Uncorrected formation energy   0.54 eV/atom
Space group   Imm2, No. 44
Calculated volume   80.5 Å³/f.u.
Energy above the lowest structure with this stoichiometry   0.80 eV/f.u.

---

A plane-wave DFT calculation with PBEsol was carried out for a relaxed structure of CuTeOs.

Cell and atoms, written as POSCAR:
```
CuTeOs
1.0
4.252 0.000 0.000
2.126 3.683 0.000
2.126 1.228 3.472
Cu Os Te
1 1 1
direct
0.500 0.500 0.500
0.250 0.250 0.250
0.000 0.000 0.000
```

N(E_F)   0.7007 states/eV/atom
Uncorrected formation energy   0.52 eV/atom
Space group   F-43m, No. 216
Calculated volume   54.4 Å³/f.u.
Energy above the lowest structure with this stoichiometry   0.00 eV/f.u.

---

A plane-wave DFT calculation with PBEsol was carried out for a relaxed structure of Cu2TeOs.

Cell and atoms, written as POSCAR:
```
Cu2TeOs
1.0
3.829 0.000 0.000
0.000 3.829 0.000
0.000 0.000 3.991
Cu Os Te
2 1 1
direct
0.000 0.500 0.000
0.500 0.000 0.000
0.500 0.500 0.500
0.000 0.000 0.500
```

N(E_F)   0.8051 states/eV/atom
Uncorrected formation energy   0.57 eV/atom
Space group   P4/mmm, No. 123
Calculated volume   58.5 Å³/f.u.

---

A plane-wave DFT calculation with PBEsol was carried out for a relaxed structure of CuTeOs2.

Cell and atoms, written as POSCAR:
```
CuTeOs2
1.0
-1.126 0.185 2.758
0.545 -4.309 -1.103
4.473 1.043 1.755
Cu Os Te
1 2 1
direct
0.000 0.000 0.500
0.748 0.496 0.728
0.252 0.504 0.272
0.500 0.000 0.000
```

N(E_F)   0.9375 states/eV/atom
Uncorrected formation energy   0.66 eV/atom
Space group   C2/m, No. 12
Calculated volume   60.9 Å³/f.u.

---

A plane-wave DFT calculation with PBEsol was carried out for a relaxed structure of CuTe2Os.

Cell and atoms, written as POSCAR:
```
CuTe2Os
1.0
-3.142 2.167 -0.233
-3.339 -1.325 1.313
-0.890 2.737 6.070
Cu Os Te
1 1 2
direct
0.500 0.500 0.500
0.000 0.000 0.000
0.745 0.745 0.764
0.255 0.255 0.236
```

N(E_F)   0.6213 states/eV/atom
Uncorrected formation energy   0.40 eV/atom
Space group   R-3m, No. 166
Calculated volume   80.4 Å³/f.u.
Energy above the lowest structure with this stoichiometry   0.25 eV/f.u.

---

A plane-wave DFT calculation with PBEsol was carried out for a relaxed structure of CuTeOs2.

Cell and atoms, written as POSCAR:
```
CuTeOs2
1.0
-1.608 2.338 0.186
0.562 -1.140 -2.549
-7.613 -5.293 0.687
Cu Os Te
1 2 1
direct
0.500 0.000 0.770
0.000 0.000 0.000
0.500 0.000 0.227
0.000 0.000 0.503
```

N(E_F)   0.9474 states/eV/atom
Uncorrected formation energy   0.93 eV/atom
Space group   Cmm2, No. 35
Calculated volume   65.3 Å³/f.u.

---

A plane-wave DFT calculation with PBEsol was carried out for a relaxed structure of CuTe2Os.

Cell and atoms, written as POSCAR:
```
CuTe2Os
1.0
4.715 0.000 0.000
2.357 4.083 0.000
2.357 1.361 3.849
Cu Os Te
1 1 2
direct
0.500 0.500 0.500
0.750 0.750 0.750
0.000 0.000 0.000
0.250 0.250 0.250
```

N(E_F)   0.7615 states/eV/atom
Uncorrected formation energy   1.09 eV/atom
Space group   F-43m, No. 216
Calculated volume   74.1 Å³/f.u.
Energy above the lowest structure with this stoichiometry   2.99 eV/f.u.

---

A plane-wave DFT calculation with PBEsol was carried out for a relaxed structure of Tl2CuOs.

Cell and atoms, written as POSCAR:
```
Tl2CuOs
1.0
3.432 0.000 0.000
0.000 4.191 0.000
-1.716 0.000 5.098
Cu Os Tl
1 1 2
direct
0.822 0.000 0.643
0.677 0.500 0.354
0.103 0.000 0.206
0.402 0.500 0.803
```

N(E_F)   0.4210 states/eV/atom
Space group   Amm2, No. 38
Calculated volume   73.3 Å³/f.u.
Energy relative to the elements   0.6386 eV/atom
Energy above the lowest structure with this stoichiometry   0.00 eV/f.u.

---

A plane-wave DFT calculation with PBEsol was carried out for a relaxed structure of Tl2CuOs.

Cell and atoms, written as POSCAR:
```
Tl2CuOs
1.0
4.186 0.000 0.000
0.000 4.186 0.000
-2.093 -2.093 3.996
Cu Os Tl
1 1 2
direct
0.500 0.500 0.000
0.000 0.000 0.000
0.750 0.250 0.500
0.250 0.750 0.500
```

N(E_F)   0.4939 states/eV/atom
Space group   I4/mmm, No. 139
Calculated volume   70.0 Å³/f.u.
Energy relative to the elements   0.8166 eV/atom
Energy above the lowest structure with this stoichiometry   0.71 eV/f.u.

---

A plane-wave DFT calculation with PBEsol was carried out for a relaxed structure of Tm2CuOs.

Cell and atoms, written as POSCAR:
```
Tm2CuOs
1.0
-1.494 3.277 -3.034
-2.947 -1.180 -3.478
-4.479 1.449 0.116
Tm Os Cu
2 1 1
direct
0.750 0.750 0.750
0.250 0.250 0.250
0.000 0.000 0.000
0.500 0.500 0.500
```

N(E_F)   0.5015 states/eV/atom
Space group   Fm-3m, No. 225
Calculated volume   73.8 Å³/f.u.
Energy relative to the elements   -0.3173 eV/atom

---

A plane-wave DFT calculation with PBEsol was carried out for a relaxed structure of CuOs2W.

Cell and atoms, written as POSCAR:
```
CuOs2W
1.0
2.717 0.000 0.000
-1.358 4.378 0.005
0.000 -0.780 4.685
Cu Os W
1 2 1
direct
0.500 0.000 0.000
0.749 0.498 0.764
0.251 0.502 0.236
0.000 0.000 0.500
```

N(E_F)   0.6213 states/eV/atom
Space group   C2/m, No. 12
Calculated volume   55.7 Å³/f.u.
Energy relative to the elements   0.2311 eV/atom
Energy above the lowest structure with this stoichiometry   0.00 eV/f.u.

---

A plane-wave DFT calculation with PBEsol was carried out for a relaxed structure of CuOs2W.

Cell and atoms, written as POSCAR:
```
CuOs2W
1.0
-0.647 2.485 -1.018
-2.173 0.130 1.700
4.151 3.155 5.065
Cu Os W
1 2 1
direct
0.500 0.500 0.500
0.000 0.000 0.739
0.000 0.000 0.261
0.500 0.500 0.000
```

N(E_F)   0.9397 states/eV/atom
Space group   P4/mmm, No. 123
Calculated volume   55.5 Å³/f.u.
Energy relative to the elements   0.3010 eV/atom
Energy above the lowest structure with this stoichiometry   0.28 eV/f.u.

---

A plane-wave DFT calculation with PBEsol was carried out for a relaxed structure of CuOs2W.

Cell and atoms, written as POSCAR:
```
CuOs2W
1.0
-2.004 -2.418 -2.924
-3.391 -2.372 1.137
-3.926 1.082 -1.353
Cu Os W
1 2 1
direct
0.000 0.000 0.000
0.250 0.250 0.250
0.750 0.750 0.750
0.500 0.500 0.500
```

N(E_F)   1.0853 states/eV/atom
Space group   Fm-3m, No. 225
Calculated volume   55.9 Å³/f.u.
Energy relative to the elements   0.2400 eV/atom
Energy above the lowest structure with this stoichiometry   0.04 eV/f.u.

---

A plane-wave DFT calculation with PBEsol was carried out for a relaxed structure of CuOs2W.

Cell and atoms, written as POSCAR:
```
CuOs2W
1.0
2.657 0.010 0.000
-1.117 2.410 0.000
0.000 0.000 8.861
Cu Os W
1 2 1
direct
0.500 0.500 0.000
0.000 0.000 0.247
0.000 0.000 0.753
0.500 0.500 0.500
```

N(E_F)   0.8893 states/eV/atom
Space group   Cmmm, No. 65
Calculated volume   56.8 Å³/f.u.
Energy relative to the elements   0.4422 eV/atom
Energy above the lowest structure with this stoichiometry   0.84 eV/f.u.

---

A plane-wave DFT calculation with PBEsol was carried out for a relaxed structure of CuOs2W.

Cell and atoms, written as POSCAR:
```
CuOs2W
1.0
-0.344 2.510 -0.760
-1.017 -1.827 -1.621
-7.779 0.306 4.536
Cu Os W
1 2 1
direct
0.500 0.500 0.249
0.000 0.000 0.004
0.500 0.500 0.750
0.000 0.000 0.497
```

N(E_F)   1.1370 states/eV/atom
Space group   Cmm2, No. 35
Calculated volume   56.9 Å³/f.u.
Energy relative to the elements   0.5629 eV/atom
Energy above the lowest structure with this stoichiometry   1.33 eV/f.u.

---

A plane-wave DFT calculation with PBEsol was carried out for a relaxed structure of Y3CuOs.

Cell and atoms, written as POSCAR:
```
Y3CuOs
1.0
-1.632 4.519 1.408
-2.236 -2.049 3.984
4.172 0.670 2.686
Y Os Cu
3 1 1
direct
0.000 0.500 0.000
0.000 0.000 0.500
0.500 0.000 0.000
0.500 0.500 0.500
0.000 0.000 0.000
```

N(E_F)   0.7615 states/eV/atom
Space group   Pm-3m, No. 221
Calculated volume   125.5 Å³/f.u.
Energy relative to the elements   0.7366 eV/atom